1.
Density functional theory data (GGA-PBE) for Ce6In2Ge after structural relaxation.

Cell: 5.5279 5.3476 9.4193 Å, 91.29 90.00 121.12°
Closest atoms and distances in Å follow each position.
Positions (direct):
1 Ce 0.6625 0.3250 0.3965  1 Ce 2.69
2 Ge 0.0000 0.0000 0.5000  8 Ce 2.98-3.30
3 Ce 0.3221 0.6442 0.8879  2 Ce 2.69-2.79
4 Ce 0.0241 0.0481 0.8166  1 Ce 2.79, 1 Ge 2.98
5 In 0.3237 0.6475 0.2451  11 Ce 3.16-3.51
6 Ce 0.9759 0.9519 0.1834  1 Ce 2.79, 1 Ge 2.98
7 Ce 0.6779 0.3558 0.1121  2 Ce 2.69-2.79
8 Ce 0.3375 0.6750 0.6035  1 Ce 2.69
9 In 0.6763 0.3525 0.7549  11 Ce 3.16-3.51

Summary:
Formation energy in eV per atom: -0.3110
Calculated density in g/cm3: 7.97

2.
Density functional theory data (GGA-PBE) for Sr3Ga2Ir3 after structural relaxation.

Cell: 6.1238 8.1514 15.0669 Å, 90.00 90.00 90.00°
Closest atoms and distances in Å follow each position.
Positions (direct):
1 Ir 0.3895 0.6516 0.5406  3 Ga 2.50-2.55
2 Ir 0.5538 0.3119 0.7500  2 Ga 2.59
3 Ir 0.3895 0.6516 0.9594  3 Ga 2.50-2.55
4 Sr 0.9090 0.8354 0.2500  4 Ir 3.01-3.16, 4 Ga 3.30-3.37
5 Sr 0.0910 0.1646 0.7500  4 Ir 3.01-3.16, 4 Ga 3.30-3.37
6 Ir 0.6105 0.3484 0.4594  3 Ga 2.50-2.55
7 Ir 0.6105 0.3484 0.0406  3 Ga 2.50-2.55
8 Ir 0.1105 0.1516 0.5406  3 Ga 2.50-2.55
9 Ga 0.3717 0.3640 0.5977  4 Ir 2.50-2.59
10 Ir 0.8895 0.8484 0.0406  3 Ga 2.50-2.55
11 Ga 0.8717 0.1360 0.4023  4 Ir 2.50-2.59
12 Ga 0.1283 0.8640 0.5977  4 Ir 2.50-2.59
13 Sr 0.6349 0.0192 0.6077  4 Ir 3.06-3.33, 3 Ga 3.24-3.35
14 Sr 0.3651 0.9808 0.3923  4 Ir 3.06-3.33, 3 Ga 3.24-3.35
15 Ga 0.1283 0.8640 0.9023  4 Ir 2.50-2.59
16 Sr 0.6349 0.0192 0.8923  4 Ir 3.06-3.33, 3 Ga 3.24-3.35
17 Ir 0.9462 0.8119 0.7500  2 Ga 2.59
18 Ir 0.4462 0.6881 0.2500  2 Ga 2.59
19 Ir 0.0538 0.1881 0.2500  2 Ga 2.59
20 Sr 0.4090 0.6646 0.7500  4 Ir 3.01-3.16, 4 Ga 3.30-3.37
21 Sr 0.1349 0.4808 0.1077  4 Ir 3.06-3.33, 3 Ga 3.24-3.35
22 Sr 0.1349 0.4808 0.3923  4 Ir 3.06-3.33, 3 Ga 3.24-3.35
23 Ga 0.6283 0.6360 0.4023  4 Ir 2.50-2.59
24 Sr 0.8651 0.5192 0.8923  4 Ir 3.06-3.33, 3 Ga 3.24-3.35
25 Sr 0.8651 0.5192 0.6077  4 Ir 3.06-3.33, 3 Ga 3.24-3.35
26 Ir 0.8895 0.8484 0.4594  3 Ga 2.50-2.55
27 Sr 0.3651 0.9808 0.1077  4 Ir 3.06-3.33, 3 Ga 3.24-3.35
28 Ir 0.1105 0.1516 0.9594  3 Ga 2.50-2.55
29 Sr 0.5910 0.3354 0.2500  4 Ir 3.01-3.16, 4 Ga 3.30-3.37
30 Ga 0.6283 0.6360 0.0977  4 Ir 2.50-2.59
31 Ga 0.8717 0.1360 0.0977  4 Ir 2.50-2.59
32 Ga 0.3717 0.3640 0.9023  4 Ir 2.50-2.59

Summary:
Formation energy in eV per atom: -0.3799
Calculated density in g/cm3: 8.65

3.
Density functional theory data (GGA-PBE) for AcZn2In after structural relaxation.

Cell: 4.2640 4.9411 4.9411 Å, 90.00 90.00 90.00°
Closest atoms and distances in Å follow each position.
Positions (direct):
1 Zn 0.0000 0.5000 0.0000  4 Ac 3.26, 4 In 3.26, 4 Zn 3.49
2 In 0.5000 0.0000 0.0000  8 Zn 3.26, 4 Ac 3.49
3 Ac 0.5000 0.5000 0.5000  8 Zn 3.26, 4 In 3.49
4 Zn 0.0000 0.0000 0.5000  4 In 3.26, 4 Ac 3.26, 4 Zn 3.49

Summary:
Formation energy in eV per atom: -0.1631
Calculated density in g/cm3: 7.54

4.
Density functional theory data (GGA-PBE) for TaRhW2 after structural relaxation.

Cell: 9.6833 9.6833 9.6833 Å, 16.72 16.72 16.72°
Closest atoms and distances in Å follow each position.
Positions (direct):
1 Rh 0.5000 0.5000 0.5000  6 W 2.76, 6 Rh 2.82
2 Ta 0.0000 0.0000 0.0000  6 Ta 2.82, 6 W 3.02
3 W 0.7554 0.7554 0.7554  3 Rh 2.76, 6 W 2.82, 3 Ta 3.02
4 W 0.2446 0.2446 0.2446  3 Rh 2.76, 6 W 2.82, 3 Ta 3.02

Summary:
Formation energy in eV per atom: 0.1669
Calculated density in g/cm3: 16.51
Energy relative to the lowest polymorph listed for this composition in meV per atom: 263

5.
Density functional theory data (GGA-PBE) for Zr3Al2Au4 after structural relaxation.

Cell: 4.6437 5.5480 8.5479 Å, 119.90 90.00 114.74°
Closest atoms and distances in Å follow each position.
Positions (direct):
1 Au 0.2919 0.5838 0.9455  1 Al 2.61, 2 Au 2.80
2 Al 0.6134 0.2268 0.2836  4 Au 2.61-2.86
3 Au 0.0685 0.1370 0.3937  3 Al 2.64-2.86, 1 Au 2.82
4 Zr 0.0000 0.0000 0.0000  2 Zr 2.98, 8 Au 2.99-3.22, 4 Al 3.09
5 Zr 0.6636 0.3271 0.6729  2 Zr 2.98, 4 Al 3.01-3.11, 8 Au 3.03-3.12
6 Au 0.9315 0.8630 0.6063  3 Al 2.64-2.86, 1 Au 2.82
7 Au 0.7081 0.4162 0.0545  1 Al 2.61, 2 Au 2.80
8 Zr 0.3364 0.6729 0.3271  2 Zr 2.98, 4 Al 3.01-3.11, 8 Au 3.03-3.12
9 Al 0.3866 0.7732 0.7164  4 Au 2.61-2.86

Summary:
Formation energy in eV per atom: -0.5902
Calculated density in g/cm3: 11.08

6.
Density functional theory data (GGA-PBE) for Ac4GaHg2 after structural relaxation.

Cell: 8.6138 8.6138 8.6138 Å, 109.46 109.50 109.46°
Closest atoms and distances in Å follow each position.
Positions (direct):
1 Hg 0.8750 0.1284 0.5034  8 Ac 3.32-3.60
2 Ac 0.4807 0.1127 0.2294  2 Ga 3.27-3.55, 4 Hg 3.32-3.60
3 Ga 0.0000 0.0000 0.0000  8 Ac 3.27-3.55
4 Ac 0.1167 0.8873 0.3680  2 Ga 3.27-3.55, 4 Hg 3.32-3.60
5 Hg 0.3750 0.8716 0.7466  8 Ac 3.32-3.60
6 Ga 0.7500 0.5000 0.2500  8 Ac 3.27-3.55
7 Hg 0.4966 0.3716 0.6250  8 Ac 3.32-3.60
8 Ac 0.6320 0.7486 0.5193  2 Ga 3.27-3.55, 4 Hg 3.32-3.60
9 Hg 0.2534 0.6284 0.1250  8 Ac 3.32-3.60
10 Ac 0.9794 0.6127 0.7307  2 Ga 3.27-3.55, 4 Hg 3.32-3.60
11 Ac 0.1180 0.3873 0.3667  2 Ga 3.27-3.55, 4 Hg 3.32-3.60
12 Ac 0.6333 0.7514 0.0206  2 Ga 3.27-3.55, 4 Hg 3.32-3.60
13 Ac 0.7706 0.2514 0.8833  2 Ga 3.27-3.55, 4 Hg 3.32-3.60
14 Ac 0.2693 0.2486 0.8820  2 Ga 3.27-3.55, 4 Hg 3.32-3.60

Summary:
Formation energy in eV per atom: -0.3404
Calculated density in g/cm3: 9.31
Energy relative to the lowest polymorph listed for this composition in meV per atom: 0

7.
Density functional theory data (GGA-PBE) for Tl2WBr2Cl4 after structural relaxation.

Cell: 7.1624 7.3448 7.3448 Å, 57.94 61.16 61.16°
Closest atoms and distances in Å follow each position.
Positions (direct):
1 Br 0.7855 0.7625 0.7625  1 W 2.57
2 W 0.5000 0.0000 0.0000  4 Cl 2.38, 2 Br 2.57
3 Tl 0.2792 0.7480 0.7480  4 Cl 3.39-3.42, 4 Br 3.44-3.73
4 Cl 0.2907 0.2126 0.7398  1 W 2.38
5 Cl 0.7093 0.2602 0.7874  1 W 2.38
6 Cl 0.7093 0.7874 0.2602  1 W 2.38
7 Cl 0.2907 0.7398 0.2126  1 W 2.38
8 Tl 0.7208 0.2520 0.2520  4 Cl 3.39-3.42, 4 Br 3.44-3.73
9 Br 0.2145 0.2375 0.2375  1 W 2.57

Summary:
Calculated density in g/cm3: 5.44
Formation energy (no corrections) in meV/atom: -831

8.
Density functional theory data (GGA-PBE) for YHfSCl2 after structural relaxation.

Cell: 4.8861 4.8861 5.0032 Å, 90.00 90.00 90.00°
Closest atoms and distances in Å follow each position.
Positions (direct):
1 Cl 0.5000 0.0000 0.0000  2 Hf 2.44
2 Cl 0.0000 0.5000 0.0000  2 Hf 2.44
3 S 0.0000 0.0000 0.5000  2 Hf 2.50
4 Y 0.5000 0.5000 0.5000  4 S 3.45, 8 Cl 3.50
5 Hf 0.0000 0.0000 0.0000  4 Cl 2.44, 2 S 2.50

Summary:
Calculated density in g/cm3: 5.15
Energy relative to the lowest polymorph listed for this composition in meV per atom: 0
Formation energy (no corrections) in meV/atom: -841

> Which value of calculated density does entry 1 give?

7.97 g/cm3